No. 1
! HfTlO3 | OQMD | GGA-PBE | optimized geometry; values from VASP
&SYSTEM
  ibrav = 0, nat = 5, ntyp = 3
/
ATOMIC_SPECIES
O 16.00 O.upf
Hf 178.49 Hf.upf
Tl 204.38 Tl.upf
CELL_PARAMETERS angstrom
4.074 0.000 0.000
0.000 4.074 0.000
0.000 0.000 4.200
ATOMIC_POSITIONS crystal
O 0.500 0.500 0.084
O 0.000 0.500 0.623
O 0.500 0.000 0.623
Hf 0.500 0.500 0.560
Tl 0.000 0.000 0.011
! ρ: 10.26 g/cm3
! total DFT energy (no corrections): -38.19 eV/cell


No. 2
! HfTlO3 | OQMD | GGA-PBE | optimized geometry; values from VASP
&SYSTEM
  ibrav = 0, nat = 10, ntyp = 3
/
ATOMIC_SPECIES
O 16.00 O.upf
Tl 204.38 Tl.upf
Hf 178.49 Hf.upf
CELL_PARAMETERS angstrom
-2.707 -4.722 1.843
-1.051 -4.302 -3.662
2.893 -4.941 0.493
ATOMIC_POSITIONS crystal
O 0.327 0.173 0.750
O 0.827 0.250 0.673
O 0.673 0.827 0.250
Tl 0.750 0.750 0.750
O 0.250 0.673 0.827
Hf 0.000 0.000 0.000
O 0.750 0.327 0.173
Tl 0.250 0.250 0.250
Hf 0.500 0.500 0.500
O 0.173 0.750 0.327
! ρ: 10.61 g/cm3
! total DFT energy (no corrections): -76.76 eV/cell


No. 3
! HfTlO3 | OQMD | GGA-PBE | optimized geometry; values from VASP
&SYSTEM
  ibrav = 0, nat = 10, ntyp = 3
/
ATOMIC_SPECIES
O 16.00 O.upf
Tl 204.38 Tl.upf
Hf 178.49 Hf.upf
CELL_PARAMETERS angstrom
-1.949 -2.303 -4.731
-2.537 3.206 -3.843
3.267 1.195 -5.255
ATOMIC_POSITIONS crystal
O 0.691 0.058 0.788
O 0.309 0.942 0.212
O 0.058 0.462 0.788
O 0.538 0.309 0.212
O 0.462 0.691 0.788
Tl 0.133 0.133 0.602
Hf 0.657 0.657 0.030
Hf 0.343 0.343 0.970
Tl 0.867 0.867 0.398
O 0.942 0.538 0.212
! ρ: 9.71 g/cm3
! total DFT energy (no corrections): -76.79 eV/cell


No. 4
! HfTlO3 | OQMD | GGA-PBE | optimized geometry; values from VASP
&SYSTEM
  ibrav = 0, nat = 20, ntyp = 3
/
ATOMIC_SPECIES
Hf 178.49 Hf.upf
O 16.00 O.upf
Tl 204.38 Tl.upf
CELL_PARAMETERS angstrom
5.706 0.000 0.000
0.000 5.820 0.000
0.000 0.000 8.133
ATOMIC_POSITIONS crystal
Hf 0.000 0.500 0.500
O 0.422 0.988 0.250
O 0.078 0.488 0.250
O 0.791 0.790 0.039
Tl 0.494 0.474 0.750
O 0.291 0.710 0.539
O 0.791 0.790 0.461
O 0.291 0.710 0.961
O 0.709 0.290 0.039
O 0.709 0.290 0.461
Hf 0.500 0.000 0.000
Hf 0.500 0.000 0.500
O 0.922 0.512 0.750
O 0.209 0.210 0.539
Tl 0.506 0.526 0.250
Tl 0.994 0.026 0.250
O 0.209 0.210 0.961
Hf 0.000 0.500 0.000
Tl 0.006 0.974 0.750
O 0.578 0.012 0.750
! ρ: 10.60 g/cm3
! total DFT energy (no corrections): -153.62 eV/cell


No. 5
! HfTlO3 | OQMD | GGA-PBE | optimized geometry; values from VASP
&SYSTEM
  ibrav = 0, nat = 10, ntyp = 3
/
ATOMIC_SPECIES
O 16.00 O.upf
Hf 178.49 Hf.upf
Tl 204.38 Tl.upf
CELL_PARAMETERS angstrom
3.065 -1.770 -4.583
-3.065 -1.770 -4.583
0.000 3.539 -4.583
ATOMIC_POSITIONS crystal
O 0.932 0.250 0.568
Hf 0.250 0.250 0.250
O 0.750 0.432 0.068
O 0.068 0.750 0.432
Tl 0.500 0.500 0.500
Hf 0.750 0.750 0.750
O 0.250 0.568 0.932
O 0.568 0.932 0.250
Tl 0.000 0.000 0.000
O 0.432 0.068 0.750
! ρ: 9.59 g/cm3
! total DFT energy (no corrections): -71.21 eV/cell


No. 6
! HfTl2O4 | OQMD | GGA-PBE | optimized geometry; values from VASP
&SYSTEM
  ibrav = 0, nat = 14, ntyp = 3
/
ATOMIC_SPECIES
O 16.00 O.upf
Hf 178.49 Hf.upf
Tl 204.38 Tl.upf
CELL_PARAMETERS angstrom
4.853 -4.853 0.000
-4.853 0.000 -4.853
4.853 4.853 0.000
ATOMIC_POSITIONS crystal
O 0.633 0.265 0.898
Hf 0.750 0.500 0.250
Tl 0.375 0.250 0.625
O 0.117 0.765 0.883
Hf 0.000 0.000 0.000
O 0.633 0.265 0.367
O 0.117 0.235 0.352
O 0.102 0.735 0.367
O 0.633 0.735 0.367
Tl 0.875 0.250 0.625
Tl 0.375 0.750 0.625
Tl 0.375 0.750 0.125
O 0.117 0.235 0.883
O 0.648 0.765 0.883
! ρ: 9.46 g/cm3
! total DFT energy (no corrections): -91.18 eV/cell


No. 7
! Tm2Hf2O5 | OQMD | GGA-PBE | optimized geometry; values from VASP
&SYSTEM
  ibrav = 0, nat = 9, ntyp = 3
/
ATOMIC_SPECIES
O 16.00 O.upf
Tm 168.93 Tm.upf
Hf 178.49 Hf.upf
CELL_PARAMETERS angstrom
9.802 0.000 0.000
0.000 3.566 0.000
0.000 0.000 3.566
ATOMIC_POSITIONS crystal
O 0.500 0.500 0.500
O 0.128 0.000 0.500
O 0.128 0.500 0.000
Tm 0.248 0.500 0.500
O 0.872 0.000 0.500
Hf 0.500 0.000 0.000
Tm 0.752 0.500 0.500
O 0.872 0.500 0.000
Hf 0.000 0.000 0.000
! ρ: 10.32 g/cm3
! offset from the most stable computed form: 0.000 eV/atom


No. 8
! Tm2Hf2O5 | OQMD | GGA-PBE | optimized geometry; values from VASP
&SYSTEM
  ibrav = 0, nat = 9, ntyp = 3
/
ATOMIC_SPECIES
O 16.00 O.upf
Hf 178.49 Hf.upf
Tm 168.93 Tm.upf
CELL_PARAMETERS angstrom
7.341 0.000 0.000
0.000 4.048 0.000
0.000 0.000 4.048
ATOMIC_POSITIONS crystal
O 0.734 0.000 0.500
Hf 0.781 0.500 0.500
Tm 0.000 0.000 0.000
O 0.500 0.500 0.500
O 0.266 0.000 0.500
Hf 0.219 0.500 0.500
Tm 0.500 0.000 0.000
O 0.266 0.500 0.000
O 0.734 0.500 0.000
! ρ: 10.70 g/cm3
! offset from the most stable computed form: 0.090 eV/atom